1.
VASP calculation (GGA-PBE) on crystalline SrLiBi at its relaxed geometry.

The calculation puts the formation enthalpy at 0 K at -731 meV per atom.

The space group is P-6m2 (No. 187) and the conventional cell measures 4.8047, 4.8047 and 4.6479 Å, with angles of 90.00, 90.00 and 120.00 degrees. The distinct sites, in fractional coordinates, are Sr at (0.0000, 0.0000, 0.0000), Li at (0.3333, 0.6667, 0.5000) and Bi at (0.6667, 0.3333, 0.5000).

***

2.
VASP calculation (GGA-PBE) on crystalline YCdIrRh at its relaxed geometry.

The calculation puts the formation enthalpy at 0 K at -409 meV per atom.

The space group is F-43m (No. 216) and the conventional cell measures 6.667, 6.667 and 6.667 Å, with angles of 90.00, 90.00 and 90.00 degrees. The distinct sites, in fractional coordinates, are Y at (0.000, 0.000, 0.000), Cd at (0.000, 0.000, 0.500), Ir at (0.250, 0.250, 0.750) and Rh at (0.250, 0.250, 0.250).

***

3.
VASP calculation (GGA-PBE) on crystalline Cs2BaCaBr6 at its relaxed geometry.

Its formation energy (no corrections) is -1.981 eV/atom. Its offset from the most stable computed form is 0 meV per atom.

The space group is Pmmn (No. 59, origin choice 2) and the conventional cell measures 8.375, 12.080 and 8.817 Å, with angles of 90.00, 90.00 and 90.00 degrees. The distinct sites, in fractional coordinates, are Cs at (0.250, 0.029, 0.205), Ba at (0.250, 0.250, 0.722), Ca at (0.250, 0.750, 0.772), Br at (0.004, 0.250, 0.448), Br at (0.011, 0.750, 0.012) and Br at (0.250, 0.510, 0.778).

***

4.
VASP calculation (GGA-PBE) on crystalline K2Tl2Si at its relaxed geometry.

Its formation energy (no corrections) is 0.136 eV/atom.

The space group is P4/mbm (No. 127) and the conventional cell measures 7.671, 7.671 and 5.817 Å, with angles of 90.00, 90.00 and 90.00 degrees. The distinct sites, in fractional coordinates, are K at (0.180, 0.320, 0.000), Tl at (0.145, 0.645, 0.500) and Si at (0.000, 0.000, 0.500).

***

5.
VASP calculation (GGA-PBE) on crystalline Er3TlPb2 at its relaxed geometry.

The calculation puts the formation enthalpy at 0 K at -306 meV per atom.

The space group is Pnma (No. 62) and the conventional cell measures 12.762, 4.718 and 11.351 Å, with angles of 90.00, 90.00 and 90.00 degrees. The distinct sites, in fractional coordinates, are Er at (0.025, 0.250, 0.122), Er at (0.144, 0.750, 0.581), Er at (0.189, 0.250, 0.827), Tl at (0.162, 0.250, 0.343), Pb at (0.004, 0.750, 0.337) and Pb at (0.179, 0.750, 0.049).

***

6.
VASP calculation (GGA-PBE) on crystalline LiCePuSe3 at its relaxed geometry.

Its formation energy (no corrections) is -1.536 eV/atom.

The space group is P2_1/m (No. 11) and the conventional cell measures 8.550, 4.056 and 8.915 Å, with angles of 90.00, 102.47 and 90.00 degrees. The distinct sites, in fractional coordinates, are Li at (0.088, 0.250, 0.084), Ce at (0.180, 0.250, 0.721), Pu at (0.335, 0.750, 0.335), Se at (0.096, 0.250, 0.367), Se at (0.216, 0.750, 0.993) and Se at (0.423, 0.750, 0.671).

***

7.
VASP calculation (GGA-PBE) on crystalline Sr2AgAs at its relaxed geometry.

The calculation puts the formation enthalpy at 0 K at -700 meV per atom.

The space group is R-3m (No. 166, hexagonal axes) and the conventional cell measures 4.6230, 4.6230 and 22.5895 Å, with angles of 90.00, 90.00 and 120.00 degrees. The distinct sites, in fractional coordinates, are Sr at (0.0000, 0.0000, 0.2365), Ag at (0.0000, 0.0000, 0.0000) and As at (0.0000, 0.0000, 0.5000).

***

8.
VASP calculation (GGA-PBE) on crystalline BaInSnAu6 at its relaxed geometry.

The calculation puts the formation enthalpy at 0 K at -124 meV per atom.

The space group is Imma (No. 74) and the conventional cell measures 7.942, 9.360 and 14.240 Å, with angles of 90.00, 90.00 and 90.00 degrees. The distinct sites, in fractional coordinates, are Ba at (0.000, 0.250, 0.129), In at (0.250, 0.250, 0.750), Sn at (0.000, 0.000, 0.500), Au at (0.000, 0.250, 0.390), Au at (0.000, 0.250, 0.888) and Au at (0.190, 0.006, 0.340).

***

9.
VASP calculation (GGA-PBE) on crystalline HgIrSe2 at its relaxed geometry.

Its formation energy (no corrections) is 0.633 eV/atom.

The space group is P4/mmm (No. 123) and the conventional cell measures 4.971, 4.971 and 3.070 Å, with angles of 90.00, 90.00 and 90.00 degrees. The distinct sites, in fractional coordinates, are Hg at (0.000, 0.000, 0.000), Ir at (0.500, 0.500, 0.000) and Se at (0.000, 0.500, 0.500).

***

10.
VASP calculation (GGA-PBE) on crystalline LuTh5 at its relaxed geometry.

The calculation puts the formation enthalpy at 0 K at 33 meV per atom.

The space group is Cmmm (No. 65) and the conventional cell measures 5.009, 15.251 and 4.984 Å, with angles of 90.00, 90.00 and 90.00 degrees. The distinct sites, in fractional coordinates, are Lu at (0.000, 0.000, 0.000), Th at (0.000, 0.165, 0.500), Th at (0.000, 0.333, 0.000) and Th at (0.000, 0.500, 0.500).

***

11.
VASP calculation (GGA-PBE) on crystalline TbYInRh at its relaxed geometry.

The calculation puts the formation enthalpy at 0 K at -560 meV per atom.

The space group is F-43m (No. 216) and the conventional cell measures 7.231, 7.231 and 7.231 Å, with angles of 90.00, 90.00 and 90.00 degrees. The distinct sites, in fractional coordinates, are Tb at (0.000, 0.000, 0.000), Y at (0.000, 0.000, 0.500), In at (0.250, 0.250, 0.750) and Rh at (0.250, 0.250, 0.250).

***

12.
VASP calculation (GGA-PBE) on crystalline La6HoEr2 at its relaxed geometry.

Its offset from the most stable computed form is 0 meV per atom. The calculation puts the formation enthalpy at 0 K at 55 meV per atom.

The space group is P-6m2 (No. 187) and the conventional cell measures 3.6508, 3.6508 and 27.5574 Å, with angles of 90.00, 90.00 and 120.00 degrees. The distinct sites, in fractional coordinates, are La at (0.0000, 0.0000, 0.0672), La at (0.0000, 0.0000, 0.2765), La at (0.3333, 0.6667, 0.3943), Ho at (0.0000, 0.0000, 0.5000) and Er at (0.3333, 0.6667, 0.1708).

***

13.
VASP calculation (GGA-PBE) on crystalline Pb2S2Cl3 at its relaxed geometry.

Its formation energy (no corrections) is -0.708 eV/atom.

The space group is P-1 (No. 2) and the conventional cell measures 4.224, 7.416 and 7.535 Å, with angles of 108.35, 99.00 and 97.91 degrees. The distinct sites, in fractional coordinates, are Pb at (0.075, 0.297, 0.235), S at (0.277, 0.437, 0.918), Cl at (0.311, 0.701, 0.487) and Cl at (0.500, 0.000, 0.000).

***

14.
VASP calculation (GGA-PBE) on crystalline KPaBeN3 at its relaxed geometry.

Its formation energy (no corrections) is -0.854 eV/atom.

The space group is P2_1/m (No. 11) and the conventional cell measures 7.599, 3.454 and 7.862 Å, with angles of 90.00, 107.27 and 90.00 degrees. The distinct sites, in fractional coordinates, are K at (0.225, 0.250, 0.187), Pa at (0.186, 0.250, 0.668), Be at (0.413, 0.750, 0.931), N at (0.141, 0.750, 0.477), N at (0.177, 0.750, 0.848) and N at (0.471, 0.250, 0.853).

***

15.
VASP calculation (GGA-PBE) on crystalline AlCuRu2 at its relaxed geometry.

The calculation puts the formation enthalpy at 0 K at -37 meV per atom.

The space group is R-3m (No. 166, hexagonal axes) and the conventional cell measures 2.7430, 2.7430 and 25.2442 Å, with angles of 90.00, 90.00 and 120.00 degrees. The distinct sites, in fractional coordinates, are Al at (0.0000, 0.0000, 0.0000), Cu at (0.0000, 0.0000, 0.5000) and Ru at (0.0000, 0.0000, 0.2519).

***

16.
VASP calculation (GGA-PBE) on crystalline Ag3Au5 at its relaxed geometry.

Its offset from the most stable computed form is 5 meV per atom. The calculation puts the formation enthalpy at 0 K at -28 meV per atom.

The space group is Pmm2 (No. 25) and the conventional cell measures 4.055, 5.957 and 5.956 Å, with angles of 90.00, 90.00 and 90.00 degrees. The distinct sites, in fractional coordinates, are Ag at (0.000, 0.000, 0.000), Ag at (0.500, 0.249, 0.249), Au at (0.000, 0.000, 0.497), Au at (0.000, 0.500, 0.000), Au at (0.000, 0.500, 0.496) and Au at (0.500, 0.249, 0.750).

***

17.
VASP calculation (GGA-PBE) on crystalline KTe2Ru at its relaxed geometry.

Its formation energy (no corrections) is 0.356 eV/atom. Its offset from the most stable computed form is 725 meV per atom.

The space group is P4/mmm (No. 123) and the conventional cell measures 5.624, 5.624 and 3.173 Å, with angles of 90.00, 90.00 and 90.00 degrees. The distinct sites, in fractional coordinates, are K at (0.000, 0.000, 0.000), Te at (0.000, 0.500, 0.500) and Ru at (0.500, 0.500, 0.000).

***

18.
VASP calculation (GGA-PBE) on crystalline Ac6NdIn5 at its relaxed geometry.

The calculation puts the formation enthalpy at 0 K at -320 meV per atom.

The space group is Immm (No. 71) and the conventional cell measures 5.484, 9.300 and 16.611 Å, with angles of 90.00, 90.00 and 90.00 degrees. The distinct sites, in fractional coordinates, are Ac at (0.000, 0.227, 0.000), Ac at (0.000, 0.262, 0.328), Nd at (0.000, 0.000, 0.500), In at (0.000, 0.000, 0.172), In at (0.000, 0.500, 0.149) and In at (0.000, 0.500, 0.500).

***

19.
VASP calculation (GGA-PBE) on crystalline BaFeSi2 at its relaxed geometry.

Its formation energy (no corrections) is 0.109 eV/atom.

The space group is Immm (No. 71) and the conventional cell measures 4.148, 6.543 and 7.583 Å, with angles of 90.00, 90.00 and 90.00 degrees. The distinct sites, in fractional coordinates, are Ba at (0.000, 0.000, 0.000), Fe at (0.000, 0.000, 0.500) and Si at (0.000, 0.500, 0.152).

***

20.
VASP calculation (GGA-PBE) on crystalline Cs2UBr6Cl at its relaxed geometry.

Its formation energy (no corrections) is -1.483 eV/atom.

The space group is P-1 (No. 2) and the conventional cell measures 7.758, 7.769 and 7.784 Å, with angles of 76.47, 76.46 and 76.51 degrees. The distinct sites, in fractional coordinates, are Cs at (0.196, 0.196, 0.195), U at (0.500, 0.500, 0.500), Br at (0.190, 0.649, 0.376), Br at (0.351, 0.623, 0.810), Br at (0.375, 0.191, 0.647) and Cl at (0.000, 0.000, 0.000).

***

21.
VASP calculation (GGA-PBE) on crystalline NaSrRh3 at its relaxed geometry.

Its offset from the most stable computed form is 0 meV per atom. The calculation puts the formation enthalpy at 0 K at 999 meV per atom.

The space group is Pm-3m (No. 221) and the conventional cell measures 4.733, 4.733 and 4.733 Å, with angles of 90.00, 90.00 and 90.00 degrees. The distinct sites, in fractional coordinates, are Na at (0.000, 0.000, 0.000), Sr at (0.500, 0.500, 0.500) and Rh at (0.000, 0.000, 0.500).

***

22.
VASP calculation (GGA-PBE) on crystalline NaPr3Ni at its relaxed geometry.

The calculation puts the formation enthalpy at 0 K at 80 meV per atom.

The space group is Pm-3m (No. 221) and the conventional cell measures 5.575, 5.575 and 5.575 Å, with angles of 90.00, 90.00 and 90.00 degrees. The distinct sites, in fractional coordinates, are Na at (0.000, 0.000, 0.000), Pr at (0.000, 0.500, 0.500) and Ni at (0.500, 0.500, 0.500).

***

23.
VASP calculation (GGA-PBE) on crystalline Na3Ho2MnS6 at its relaxed geometry.

Its formation energy (no corrections) is -1.461 eV/atom.

The space group is C2/m (No. 12) and the conventional cell measures 6.641, 11.637 and 7.017 Å, with angles of 90.00, 108.10 and 90.00 degrees. The distinct sites, in fractional coordinates, are Na at (0.000, 0.000, 0.000), Na at (0.000, 0.332, 0.000), Ho at (0.000, 0.169, 0.500), Mn at (0.000, 0.500, 0.500), S at (0.231, 0.500, 0.292) and S at (0.235, 0.341, 0.725).

***

24.
VASP calculation (GGA-PBE) on crystalline HfGa2Tc at its relaxed geometry.

Its offset from the most stable computed form is 83 meV per atom. The calculation puts the formation enthalpy at 0 K at -266 meV per atom.

The space group is P4/mmm (No. 123) and the conventional cell measures 3.927, 3.927 and 4.239 Å, with angles of 90.00, 90.00 and 90.00 degrees. The distinct sites, in fractional coordinates, are Hf at (0.000, 0.000, 0.000), Ga at (0.000, 0.500, 0.500) and Tc at (0.500, 0.500, 0.000).

***

In μB per atom, the magnetic moment values for the records above are, in order, 0.000; 0.000; 0.000; 0.000; 0.000; 1.146; 0.000; 0.000; 0.000; 0.000; 0.000; 0.000; 0.000; 0.000; 0.000; 0.000; 0.486; 0.001; 0.563; 0.086; 0.000; 0.000; 0.333; 0.000.